DFT (GGA-PBE) results for a relaxed YPuTlAg crystal.

Values from the calculation:
- Electronic total energy: -26.43 eV for the cell shown
- Spin magnetization: 5.68 μB per formula unit

a b c (Å): 5.309 5.309 5.309
angles (deg): 60.00 60.00 60.00
Site moments in Bohr magnetons follow the coordinates.
Fractional coordinates of all 4 atoms:
Y 0.250 0.250 0.250  0.05
Tl 0.500 0.500 0.500  -0.02
Ag 0.000 0.000 0.000  0.01
Pu 0.750 0.750 0.750  5.39